Density functional theory data (GGA-PBE) for a geometry-optimized BaHgPO4 structure. Values from VASP.

Properties
**Space group**: F-43m
**Formation energy without anion corrections**: -11.148 eV/f.u.
**E_tot**: -38.6 eV per cell

```
&SYSTEM
  ibrav = 0, nat = 7, ntyp = 4
/
ATOMIC_SPECIES
Hg 200.59 Hg.upf
O 16.00 O.upf
P 30.97 P.upf
Ba 137.33 Ba.upf
ATOMIC_POSITIONS angstrom
Hg 6.249 3.608 2.551
O 4.391 2.535 1.793
O 6.249 5.752 1.793
O 8.106 2.535 1.793
O 6.249 3.608 4.826
P 3.124 1.804 1.275
Ba 9.373 5.411 3.826
CELL_PARAMETERS angstrom
6.249 0.000 0.000
3.124 5.411 0.000
3.124 1.804 5.102
```